# Na2HfCl6, relaxed, DFT PBE
data_Na2HfCl6
_cell_length_a 6.771
_cell_length_b 7.108
_cell_length_c 12.054
_cell_angle_alpha 90.00
_cell_angle_beta 121.34
_cell_angle_gamma 90.00
_space_group_name_H-M_alt 'P 1 21/c 1'
_space_group_IT_number 14
_space_group_name_Hall '-P 2ybc'
loop_
_atom_site_label
_atom_site_fract_x
_atom_site_fract_y
_atom_site_fract_z
_atom_site_occupancy
Na1 0.183 0.087 0.228 1
Hf1 0.500 0.000 0.000 1
Cl1 0.155 0.188 0.944 1
Cl2 0.254 0.718 0.913 1
Cl3 0.438 0.069 0.783 1
# magnetic moment	0.000	μB per cell
# E	-4.482	eV per atom
# formation energy (no corrections)	-1.8518	eV/atom
# Fermi-level density of states	0.000	states/eV per atom

# NaHf2Cl8, relaxed, DFT PBE
data_NaHf2Cl8
_cell_length_a 8.7402
_cell_length_b 8.7402
_cell_length_c 5.0416
_cell_angle_alpha 90.00
_cell_angle_beta 90.00
_cell_angle_gamma 120.00
_space_group_name_H-M_alt 'P -3'
_space_group_IT_number 147
_space_group_name_Hall '-P 3'
loop_
_atom_site_label
_atom_site_fract_x
_atom_site_fract_y
_atom_site_fract_z
_atom_site_occupancy
Na1 0.0000 0.0000 0.0000 1
Hf1 0.3333 0.6667 0.2447 1
Cl1 0.1759 0.3537 0.2526 1
Cl2 0.3333 0.6667 0.7476 1
# excess energy over the best structure of this formula in the dataset	99.2	meV/atom
# magnetic moment	0.986	μB per cell
# E	-4.902	eV per atom
# formation energy (no corrections)	-1.6289	eV/atom
# Fermi-level density of states	0.413	states/eV per atom

# NaHf2Cl, relaxed, DFT PBE
data_NaHf2Cl
_cell_length_a 6.977
_cell_length_b 6.977
_cell_length_c 6.977
_cell_angle_alpha 90.00
_cell_angle_beta 90.00
_cell_angle_gamma 90.00
_space_group_name_H-M_alt 'F m -3 m'
_space_group_IT_number 225
_space_group_name_Hall '-F 4 2 3'
loop_
_atom_site_label
_atom_site_fract_x
_atom_site_fract_y
_atom_site_fract_z
_atom_site_occupancy
Na1 0.000 0.000 0.000 1
Hf1 0.250 0.250 0.250 1
Cl1 0.000 0.000 0.500 1
# excess energy over the best structure of this formula in the dataset	392.6	meV/atom
# magnetic moment	0.000	μB per cell
# E	-5.083	eV per atom
# formation energy (no corrections)	0.6856	eV/atom
# Fermi-level density of states	0.527	states/eV per atom

# NaHfCl6, relaxed, DFT PBE
data_NaHfCl6
_cell_length_a 6.489
_cell_length_b 11.996
_cell_length_c 6.959
_cell_angle_alpha 90.00
_cell_angle_beta 109.67
_cell_angle_gamma 90.00
_space_group_name_H-M_alt 'C 1 2/m 1'
_space_group_IT_number 12
_space_group_name_Hall '-C 2y'
loop_
_atom_site_label
_atom_site_fract_x
_atom_site_fract_y
_atom_site_fract_z
_atom_site_occupancy
Na1 0.000 0.000 0.000 1
Hf1 0.000 0.500 0.500 1
Cl1 0.185 0.357 0.746 1
Cl2 0.198 0.000 0.652 1
# magnetic moment	2.219	μB per cell
# E	-4.298	eV per atom
# formation energy (no corrections)	-1.5035	eV/atom